DFT (GGA+U) results for an optimized crystal structure of Ba2MnReO6.

Unit cell a=5.8588 b=5.8588 c=5.8588 alpha=60.00 beta=60.00 gamma=60.00
Element x y z (fractional)
Ba 0.2500 0.2500 0.2500
Ba 0.7500 0.7500 0.7500
Mn 0.0000 0.0000 0.0000
Re 0.5000 0.5000 0.5000
O 0.2649 0.2649 0.7351
O 0.2649 0.7351 0.2649
O 0.2649 0.7351 0.7351
O 0.7351 0.2649 0.2649
O 0.7351 0.2649 0.7351
O 0.7351 0.7351 0.2649

Results
Crystal system: cubic
Symmetry: Fm-3m
E_tot: -75.7 eV per cell
D(E_F): 3.3 states/eV/cell